The following is a PBE calculation of a geometry-optimized NbGeN2O structure, from Alexandria via LeMat-Bulk.

a = 3.7984 Å, b = 3.7984 Å, c = 3.6169 Å
α = 90.00°, β = 90.00°, γ = 90.00°
Last column: magnetic moment on the atom in μB.
Fractional positions:
Nb (0.5000, 0.5000, 0.5000)  0.91
Ge (0.0000, 0.0000, 0.0000)  0.01
O (0.0000, 0.0000, 0.5000)  -0.03
N (0.0000, 0.5000, 0.0000)  -0.07
N (0.5000, 0.0000, 0.0000)  -0.07

Values from the calculation:
- Total moment: 0.1620 μB per atom
- Formation energy from raw total energies: 0.8 eV per formula unit
- Calculated volume: 52 Å³/f.u.

The following is a PBE calculation of a geometry-optimized Pa2NbGeN5 structure, from Alexandria via LeMat-Bulk.

a = 3.2168 Å, b = 7.2184 Å, c = 9.9411 Å
α = 90.00°, β = 90.00°, γ = 102.88°
Fractional positions:
Pa (0.8613, 0.7228, 0.7878)
Pa (0.1260, 0.2519, 0.7066)
Pa (0.1386, 0.2772, 0.2878)
Pa (0.8740, 0.7481, 0.2066)
Nb (0.7762, 0.5526, 0.4995)
Nb (0.2238, 0.4474, 0.9995)
Ge (0.5109, 0.0220, 0.9752)
Ge (0.4891, 0.9780, 0.4752)
N (0.3785, 0.7572, 0.0197)
N (0.6948, 0.3896, 0.8525)
N (0.4977, 0.9952, 0.7858)
N (0.2905, 0.5810, 0.6508)
N (0.9382, 0.8762, 0.5460)
N (0.6215, 0.2428, 0.5197)
N (0.3052, 0.6104, 0.3525)
N (0.5023, 0.0048, 0.2858)
N (0.7095, 0.4190, 0.1509)
N (0.0618, 0.1237, 0.0460)

Values from the calculation:
- Total moment: 0.0000 μB per atom
- Formation energy from raw total energies: -9.0 eV per formula unit
- Calculated volume: 113 Å³/f.u.

The following is a PBE calculation of a geometry-optimized Pm2Nb2Ge2N structure, from Alexandria via LeMat-Bulk.

a = 4.2517 Å, b = 4.2517 Å, c = 8.3363 Å
α = 104.77°, β = 104.77°, γ = 90.00°
Fractional positions:
Pm (0.1677, 0.1677, 0.3354)
Pm (0.8323, 0.8323, 0.6646)
Nb (0.0000, 0.5000, 0.0000)
Nb (0.5000, 0.0000, 0.0000)
Ge (0.3738, 0.3738, 0.7476)
Ge (0.6262, 0.6262, 0.2524)
N (0.0000, 0.0000, 0.0000)

Values from the calculation:
- Total moment: 0.0005 μB per atom
- Formation energy from raw total energies: -6.0 eV per formula unit
- Calculated volume: 141 Å³/f.u.

The following is a PBE calculation of a geometry-optimized Pr2Nb2Ge2N structure, from Alexandria via LeMat-Bulk.

a = 4.2641 Å, b = 4.2641 Å, c = 8.4853 Å
α = 104.55°, β = 104.55°, γ = 90.00°
Last column: magnetic moment on the atom in μB.
Fractional positions:
Pr (0.1685, 0.1685, 0.3370)  0.07
Pr (0.8315, 0.8315, 0.6630)  0.07
Nb (0.0000, 0.5000, 0.0000)  0.01
Nb (0.5000, 0.0000, 0.0000)  0.01
Ge (0.3770, 0.3770, 0.7540)  0.00
Ge (0.6230, 0.6230, 0.2460)  0.00
N (0.0000, 0.0000, 0.0000)  0.00

Values from the calculation:
- Total moment: 0.0538 μB per atom
- Formation energy from raw total energies: -5.9 eV per formula unit
- Calculated volume: 144 Å³/f.u.

Copy entry 3 word for word.
The following is a PBE calculation of a geometry-optimized Pm2Nb2Ge2N structure, from Alexandria via LeMat-Bulk.

a = 4.2517 Å, b = 4.2517 Å, c = 8.3363 Å
α = 104.77°, β = 104.77°, γ = 90.00°
Fractional positions:
Pm (0.1677, 0.1677, 0.3354)
Pm (0.8323, 0.8323, 0.6646)
Nb (0.0000, 0.5000, 0.0000)
Nb (0.5000, 0.0000, 0.0000)
Ge (0.3738, 0.3738, 0.7476)
Ge (0.6262, 0.6262, 0.2524)
N (0.0000, 0.0000, 0.0000)

Values from the calculation:
- Total moment: 0.0005 μB per atom
- Formation energy from raw total energies: -6.0 eV per formula unit
- Calculated volume: 141 Å³/f.u.

Question: The lowest calculated volume belongs to which entry?
Answer: NbGeN2O

Question: Which value of calculated volume does entry 1 give?
Answer: 52 Å³/f.u.

Question: The highest total moment belongs to which entry?
Answer: NbGeN2O